Entry 1:
# Sc3Zn SCAN single point on PBEsol structure
# N(E_F) = 1.354 states/eV per atom
# Total moment = 0.185 μB/atom
# E_form = -0.019 eV/atom
data_Sc3Zn
_space_group_name_H-M_alt 'F m -3 m'
_space_group_IT_number 225
_space_group_name_Hall '-F 4 2 3'
_cell_length_a 6.883
_cell_length_b 6.883
_cell_length_c 6.883
_cell_angle_alpha 90.00
_cell_angle_beta 90.00
_cell_angle_gamma 90.00
loop_
_atom_site_label
_atom_site_type_symbol
_atom_site_fract_x
_atom_site_fract_y
_atom_site_fract_z
Sc1 Sc 0.000 0.000 0.000
Sc2 Sc 0.250 0.250 0.250
Zn1 Zn 0.000 0.000 0.500

Entry 2:
# ScZn3 SCAN single point on PBEsol structure
# N(E_F) = 0.281 states/eV per atom
# Total moment = 0.000 μB/atom
# E_form = -0.361 eV/atom
data_ScZn3
_space_group_name_H-M_alt 'F m -3 m'
_space_group_IT_number 225
_space_group_name_Hall '-F 4 2 3'
_cell_length_a 6.259
_cell_length_b 6.259
_cell_length_c 6.259
_cell_angle_alpha 90.00
_cell_angle_beta 90.00
_cell_angle_gamma 90.00
loop_
_atom_site_label
_atom_site_type_symbol
_atom_site_fract_x
_atom_site_fract_y
_atom_site_fract_z
Sc1 Sc 0.000 0.000 0.000
Zn1 Zn 0.000 0.000 0.500
Zn2 Zn 0.250 0.250 0.250

Entry 3:
# ScZn2 SCAN single point on PBEsol structure
# N(E_F) = 0.504 states/eV per atom
# Total moment = 0.000 μB/atom
# E_form = -0.386 eV/atom
data_ScZn2
_space_group_name_H-M_alt 'P n m a'
_space_group_IT_number 62
_space_group_name_Hall '-P 2ac 2n'
_cell_length_a 5.567
_cell_length_b 4.386
_cell_length_c 8.052
_cell_angle_alpha 90.00
_cell_angle_beta 90.00
_cell_angle_gamma 90.00
loop_
_atom_site_label
_atom_site_type_symbol
_atom_site_fract_x
_atom_site_fract_y
_atom_site_fract_z
Sc1 Sc 0.186 0.250 0.080
Zn1 Zn 0.026 0.250 0.731
Zn2 Zn 0.179 0.250 0.412

Entry 4:
# ScZn2 SCAN single point on PBEsol structure
# N(E_F) = 0.480 states/eV per atom
# Total moment = 0.000 μB/atom
# E_form = -0.350 eV/atom
data_ScZn2
_space_group_name_H-M_alt 'C m c m'
_space_group_IT_number 63
_space_group_name_Hall '-C 2c 2'
_cell_length_a 4.057
_cell_length_b 11.127
_cell_length_c 4.343
_cell_angle_alpha 90.00
_cell_angle_beta 90.00
_cell_angle_gamma 90.00
loop_
_atom_site_label
_atom_site_type_symbol
_atom_site_fract_x
_atom_site_fract_y
_atom_site_fract_z
Sc1 Sc 0.000 0.094 0.250
Zn1 Zn 0.000 0.239 0.750
Zn2 Zn 0.000 0.405 0.250